# Pm5Sb4Br

Crystalline Pm5Sb4Br at its relaxed geometry (PBE, Alexandria via LeMat-Bulk).

Values from the calculation:
The uncorrected formation energy is -1.171 eV per atom. The total energy comes out at -107.3 eV per cell. The value obtained for the density of states at the Fermi level is 0.4270 states/eV/atom. For the magnetization, the calculation gives 0.000 μB per atom. The calculation puts the volume at 314 Å³/f.u. For the energy above the most stable polymorph in this dataset, the calculation gives 30 meV per atom. As for the mass density: 6.84 Mg/m³.

CIF file:
```
data_Pm5Sb4Br
_chemical_formula_sum 'Pm10 Sb8 Br2'
_cell_length_a 4.4606
_cell_length_b 4.4606
_cell_length_c 31.5467
_cell_angle_alpha 90.00
_cell_angle_beta 90.00
_cell_angle_gamma 90.00
_space_group_name_H-M_alt 'I 4/m m m'
_space_group_IT_number 139
_space_group_name_Hall '-I 4 2'
loop_
_atom_site_label
_atom_site_type_symbol
_atom_site_fract_x
_atom_site_fract_y
_atom_site_fract_z
Pm1 Pm 0.0000 0.0000 0.0000
Pm2 Pm 0.0000 0.0000 0.2002
Pm3 Pm 0.0000 0.0000 0.3976
Sb1 Sb 0.0000 0.0000 0.0980
Sb2 Sb 0.0000 0.0000 0.3000
Br1 Br 0.0000 0.0000 0.5000
```


# K12Au4IO3

Crystalline K12Au4IO3 at its relaxed geometry (PBE, Alexandria via LeMat-Bulk).

Values from the calculation:
The uncorrected formation energy is -0.695 eV per atom. The total energy comes out at -113.2 eV per cell. The value obtained for the density of states at the Fermi level is 0.1785 states/eV/atom. For the magnetization, the calculation gives 0.000 μB per atom. The calculation puts the volume at 717 Å³/f.u. As for the mass density: 3.32 Mg/m³.

CIF file:
```
data_K12Au4IO3
_chemical_formula_sum 'K24 Au8 I2 O6'
_cell_length_a 11.2778
_cell_length_b 11.2778
_cell_length_c 11.2778
_cell_angle_alpha 90.00
_cell_angle_beta 90.00
_cell_angle_gamma 90.00
_space_group_name_H-M_alt 'I m -3 m'
_space_group_IT_number 229
_space_group_name_Hall '-I 4 2 3'
loop_
_atom_site_label
_atom_site_type_symbol
_atom_site_fract_x
_atom_site_fract_y
_atom_site_fract_z
K1 K 0.0000 0.0000 0.2853
K2 K 0.0000 0.2500 0.5000
Au1 Au 0.2500 0.2500 0.2500
I1 I 0.0000 0.0000 0.0000
O1 O 0.0000 0.0000 0.5000
```


# RbI3Cl

Crystalline RbI3Cl at its relaxed geometry (PBE, Alexandria via LeMat-Bulk).

Values from the calculation:
The uncorrected formation energy is -0.451 eV per atom. The total energy comes out at -38.9 eV per cell. The value obtained for the density of states at the Fermi level is 0.0000 states/eV/atom. For the magnetization, the calculation gives 0.000 μB per atom. The calculation puts the volume at 225 Å³/f.u. For the energy above the most stable polymorph in this dataset, the calculation gives 0 meV per atom. As for the mass density: 3.70 Mg/m³.

CIF file:
```
data_RbI3Cl
_chemical_formula_sum 'Rb4 I12 Cl4'
_cell_length_a 8.5271
_cell_length_b 8.5271
_cell_length_c 12.3926
_cell_angle_alpha 90.00
_cell_angle_beta 90.00
_cell_angle_gamma 90.00
_space_group_name_H-M_alt 'I 4/m m m'
_space_group_IT_number 139
_space_group_name_Hall '-I 4 2'
loop_
_atom_site_label
_atom_site_type_symbol
_atom_site_fract_x
_atom_site_fract_y
_atom_site_fract_z
Rb1 Rb 0.0000 0.5000 0.2500
I1 I 0.0000 0.0000 0.2163
I2 I 0.2274 0.2274 0.5000
Cl1 Cl 0.0000 0.0000 0.0000
Cl2 Cl 0.0000 0.0000 0.5000
```


# Ba4TlCd3

Crystalline Ba4TlCd3 at its relaxed geometry (PBE, Alexandria via LeMat-Bulk).

Values from the calculation:
The total energy comes out at -62.4 eV per cell. The value obtained for the density of states at the Fermi level is 0.7352 states/eV/atom. For the magnetization, the calculation gives 0.000 μB per atom. The calculation puts the volume at 311 Å³/f.u. Its calculated formation energy is -350 meV per atom. As for the mass density: 5.82 Mg/m³.

CIF file:
```
data_Ba4TlCd3
_chemical_formula_sum 'Ba16 Tl4 Cd12'
_cell_length_a 8.5411
_cell_length_b 8.5576
_cell_length_c 17.0402
_cell_angle_alpha 90.00
_cell_angle_beta 90.00
_cell_angle_gamma 90.00
_space_group_name_H-M_alt 'F m m m'
_space_group_IT_number 69
_space_group_name_Hall '-F 2 2'
loop_
_atom_site_label
_atom_site_type_symbol
_atom_site_fract_x
_atom_site_fract_y
_atom_site_fract_z
Ba1 Ba 0.2500 0.2500 0.1251
Tl1 Tl 0.0000 0.0000 0.0000
Cd1 Cd 0.0000 0.0000 0.2488
Cd2 Cd 0.0000 0.0000 0.5000
```


# Cr3Co

Crystalline Cr3Co at its relaxed geometry (PBE, Alexandria via LeMat-Bulk).

Values from the calculation:
The total energy comes out at -70.4 eV per cell. The value obtained for the density of states at the Fermi level is 1.4496 states/eV/atom. For the magnetization, the calculation gives 0.000 μB per atom. The calculation puts the volume at 45 Å³/f.u. Its calculated formation energy is 199 meV per atom. As for the mass density: 7.85 Mg/m³.

CIF file:
```
data_Cr3Co
_chemical_formula_sum 'Cr6 Co2'
_cell_length_a 5.0438
_cell_length_b 7.3267
_cell_length_c 2.4601
_cell_angle_alpha 90.00
_cell_angle_beta 90.00
_cell_angle_gamma 90.00
_space_group_name_H-M_alt 'C m m m'
_space_group_IT_number 65
_space_group_name_Hall '-C 2 2'
loop_
_atom_site_label
_atom_site_type_symbol
_atom_site_fract_x
_atom_site_fract_y
_atom_site_fract_z
Cr1 Cr 0.0000 0.0000 0.0000
Cr2 Cr 0.2500 0.2500 0.5000
Co1 Co 0.0000 0.5000 0.0000
```


# RbAg2SnF8

Crystalline RbAg2SnF8 at its relaxed geometry (PBE, Alexandria via LeMat-Bulk).

Values from the calculation:
The uncorrected formation energy is -1.970 eV per atom. The total energy comes out at -49.3 eV per cell. The value obtained for the density of states at the Fermi level is 0.0632 states/eV/atom. For the magnetization, the calculation gives 0.088 μB per atom. The calculation puts the volume at 212 Å³/f.u. As for the mass density: 4.49 Mg/m³.

CIF file:
```
data_RbAg2SnF8
_chemical_formula_sum 'Rb1 Ag2 Sn1 F8'
_cell_length_a 4.9415
_cell_length_b 5.5094
_cell_length_c 7.8581
_cell_angle_alpha 96.79
_cell_angle_beta 94.33
_cell_angle_gamma 91.65
_space_group_name_H-M_alt 'P -1'
_space_group_IT_number 2
loop_
_space_group_symop_operation_xyz
'x,y,z'
'-x,-y,-z'
loop_
_atom_site_label
_atom_site_type_symbol
_atom_site_fract_x
_atom_site_fract_y
_atom_site_fract_z
Rb1 Rb 0.0000 0.0000 0.0000
Ag1 Ag 0.4333 0.4808 0.7682
Sn1 Sn 0.0000 0.0000 0.5000
F1 F 0.1246 0.7779 0.3035
F2 F 0.1718 0.8005 0.6745
F3 F 0.3311 0.2298 0.5177
F4 F 0.4913 0.2681 0.9947
```


# LaZn4Cu2Au

Crystalline LaZn4Cu2Au at its relaxed geometry (PBE, Alexandria via LeMat-Bulk).

Values from the calculation:
The total energy comes out at -69.0 eV per cell. The value obtained for the density of states at the Fermi level is 0.3449 states/eV/atom. For the magnetization, the calculation gives 0.000 μB per atom. The calculation puts the volume at 145 Å³/f.u. Its calculated formation energy is -188 meV per atom. As for the mass density: 8.30 Mg/m³.

CIF file:
```
data_LaZn4Cu2Au
_chemical_formula_sum 'La3 Zn12 Cu6 Au3'
_cell_length_a 4.2509
_cell_length_b 4.2509
_cell_length_c 27.7778
_cell_angle_alpha 90.00
_cell_angle_beta 90.00
_cell_angle_gamma 120.00
_space_group_name_H-M_alt 'R -3 m'
_space_group_IT_number 166
_space_group_name_Hall '-R 3 2"'
loop_
_atom_site_label
_atom_site_type_symbol
_atom_site_fract_x
_atom_site_fract_y
_atom_site_fract_z
La1 La 0.0000 0.0000 0.0000
Zn1 Zn 0.0000 0.0000 0.1254
Zn2 Zn 0.0000 0.0000 0.4046
Cu1 Cu 0.0000 0.0000 0.2438
Au1 Au 0.0000 0.0000 0.5000
```


# YTl2Pd2

Crystalline YTl2Pd2 at its relaxed geometry (PBE, Alexandria via LeMat-Bulk).

Values from the calculation:
The total energy comes out at -45.4 eV per cell. The value obtained for the density of states at the Fermi level is 0.7869 states/eV/atom. For the magnetization, the calculation gives 0.077 μB per atom. The calculation puts the volume at 109 Å³/f.u. For the energy above the most stable polymorph in this dataset, the calculation gives 108 meV per atom. Its calculated formation energy is -222 meV per atom. As for the mass density: 10.81 Mg/m³.

CIF file:
```
data_YTl2Pd2
_chemical_formula_sum 'Y2 Tl4 Pd4'
_cell_length_a 8.1148
_cell_length_b 8.1148
_cell_length_c 3.3150
_cell_angle_alpha 90.00
_cell_angle_beta 90.00
_cell_angle_gamma 90.00
_space_group_name_H-M_alt 'P 4/m b m'
_space_group_IT_number 127
_space_group_name_Hall '-P 4 2ab'
loop_
_atom_site_label
_atom_site_type_symbol
_atom_site_fract_x
_atom_site_fract_y
_atom_site_fract_z
Y1 Y 0.0000 0.0000 0.0000
Tl1 Tl 0.1319 0.3681 0.0000
Pd1 Pd 0.1690 0.6690 0.5000
```